Entry from Alexandria: a relaxed K2RbCrO crystal (PBE with a Hubbard U).

The structure belongs to space group P4/mmm (No. 123); the cell edges are 5.4914, 5.4914 and 5.7472 Å and the angles 90.00°, 90.00° and 90.00°. Symmetry generates all atoms from K at (0.0000, 0.5000, 0.0000), Rb at (0.0000, 0.0000, 0.5000), Cr at (0.5000, 0.5000, 0.5000) and O at (0.0000, 0.0000, 0.0000).

The calculation puts the uncorrected energy at -16.81 eV/cell.